! PBE-GGA Pm2Nd6Y3, optimized geometry; values from VASP
&SYSTEM
  ibrav = 0, nat = 11, ntyp = 3
/
ATOMIC_SPECIES
Pm 145.00 Pm.upf
Nd 144.24 Nd.upf
Y 88.91 Y.upf
CELL_PARAMETERS angstrom
-2.4206 2.4206 16.9723
2.4206 -2.4206 16.9723
2.4206 2.4206 -16.9723
ATOMIC_POSITIONS crystal
Pm 0.0451 0.0451 0.0000
Pm 0.9549 0.9549 0.0000
Nd 0.1203 0.6203 0.5000
Nd 0.1956 0.1956 0.0000
Nd 0.3797 0.8797 0.5000
Nd 0.6203 0.1203 0.5000
Nd 0.8044 0.8044 0.0000
Nd 0.8797 0.3797 0.5000
Y 0.2981 0.2981 0.0000
Y 0.5000 0.5000 0.0000
Y 0.7019 0.7019 0.0000
! DOS(E_F) in states/eV per cell: 15.02
! Symmetry: I4/mmm (139)
! Calculated formation energy in eV/atom: 0.2767
! Total energy in eV/f.u.: -54.5
! Volume in Å³/atom: 36.16

=====

! PBE-GGA La2AgSnPt, optimized geometry; values from VASP
&SYSTEM
  ibrav = 0, nat = 5, ntyp = 4
/
ATOMIC_SPECIES
La 138.91 La.upf
Ag 107.87 Ag.upf
Sn 118.71 Sn.upf
Pt 195.08 Pt.upf
CELL_PARAMETERS angstrom
6.0520 0.0000 0.0000
0.0000 6.0520 0.0000
0.0000 0.0000 4.9820
ATOMIC_POSITIONS crystal
La 0.0000 0.5000 0.0000
La 0.5000 0.0000 0.0000
Ag 0.0000 0.0000 0.5000
Sn 0.0000 0.0000 0.0000
Pt 0.5000 0.5000 0.5000
! DOS(E_F) in states/eV per cell: 5.02
! Symmetry: P4/mmm (123)
! Calculated formation energy in eV/atom: 0.2491
! Total energy in eV/f.u.: -21.5
! Volume in Å³/atom: 36.50

=====

! PBE-GGA Rb2CaSiTe4, optimized geometry; values from VASP
&SYSTEM
  ibrav = 0, nat = 16, ntyp = 4
/
ATOMIC_SPECIES
Rb 85.47 Rb.upf
Ca 40.08 Ca.upf
Si 28.09 Si.upf
Te 127.60 Te.upf
CELL_PARAMETERS angstrom
-4.1839 5.1327 6.6563
4.1839 -5.1327 6.6563
4.1839 5.1327 -6.6563
ATOMIC_POSITIONS crystal
Rb 0.0000 0.0000 0.0000
Rb 0.5000 0.0000 0.0000
Rb 0.5000 0.0000 0.5000
Rb 0.5000 0.5000 0.5000
Ca 0.0000 0.5000 0.5000
Ca 0.5000 0.5000 0.0000
Si 0.0000 0.0000 0.5000
Si 0.0000 0.5000 0.0000
Te 0.1803 0.7414 0.4389
Te 0.1975 0.2586 0.9389
Te 0.2196 0.2449 0.5253
Te 0.2196 0.6942 0.9747
Te 0.7804 0.3058 0.0253
Te 0.7804 0.7551 0.4747
Te 0.8025 0.7414 0.0611
Te 0.8197 0.2586 0.5611
! Formation energy without anion corrections in meV per atom: -631
! DOS(E_F) in states/eV per cell: 10.29
! Symmetry: Imma (74)
! Total energy in eV/f.u.: -27.0
! Volume in Å³/atom: 35.74

=====

! PBE-GGA Li2ScCdH, optimized geometry; values from VASP
&SYSTEM
  ibrav = 0, nat = 5, ntyp = 4
/
ATOMIC_SPECIES
Li 6.94 Li.upf
Sc 44.96 Sc.upf
Cd 112.41 Cd.upf
H 1.01 H.upf
CELL_PARAMETERS angstrom
4.2819 0.0000 0.0000
0.0000 4.2819 0.0000
0.0000 0.0000 4.2908
ATOMIC_POSITIONS crystal
Li 0.0000 0.5000 0.0000
Li 0.5000 0.0000 0.0000
Sc 0.0000 0.0000 0.5000
Cd 0.5000 0.5000 0.5000
H 0.0000 0.0000 0.0000
! DOS(E_F) in states/eV per cell: 2.96
! Symmetry: P4/mmm (123)
! Total energy in eV/f.u.: -15.5
! Volume in Å³/atom: 15.73

=====

What is the DOS(E_F) in the first record? 15.02 states/eV per cell